Entry from Alexandria: a relaxed RbBaBi2H crystal (GGA-PBE).

The space group is P4/mmm (No. 123) and the conventional cell measures 6.509, 6.509 and 7.780 Å, with angles of 90.00, 90.00 and 90.00 degrees. The distinct sites, in fractional coordinates, are Rb at (0.000, 0.000, 0.000), Ba at (0.000, 0.000, 0.500), Bi at (0.000, 0.500, 0.500) and H at (0.500, 0.500, 0.000).

Its total energy is -2.061 eV per atom. The density of states at the Fermi level comes out at 5.8 states/eV/f.u.

Entry from Alexandria: a relaxed Ba2Bi2H4Rh crystal (GGA-PBE).

The space group is I4/mmm (No. 139) and the conventional cell measures 6.854, 6.854 and 8.474 Å, with angles of 90.00, 90.00 and 90.00 degrees. The distinct sites, in fractional coordinates, are Ba at (0.000, 0.500, 0.250), Bi at (0.000, 0.000, 0.174), H at (0.175, 0.175, 0.500) and Rh at (0.000, 0.000, 0.500).

Its total energy is -3.839 eV per atom. The density of states at the Fermi level comes out at 5.6 states/eV/f.u.

Entry from Alexandria: a relaxed BaBiH6Rh2 crystal (GGA-PBE).

The space group is C2/c (No. 15) and the conventional cell measures 8.068, 13.012 and 4.898 Å, with angles of 90.00, 95.45 and 90.00 degrees. The distinct sites, in fractional coordinates, are Ba at (0.000, 0.157, 0.250), Bi at (0.000, 0.382, 0.750), H at (0.135, 0.129, 0.786), H at (0.189, 0.321, 0.410), H at (0.204, 0.008, 0.484) and Rh at (0.190, 0.429, 0.237).

Its total energy is -4.355 eV per atom. The density of states at the Fermi level comes out at 2.2 states/eV/f.u.

Entry from Alexandria: a relaxed Ba4BiSbH crystal (GGA-PBE).

The space group is I4mm (No. 107) and the conventional cell measures 5.305, 5.305 and 19.158 Å, with angles of 90.00, 90.00 and 90.00 degrees. The distinct sites, in fractional coordinates, are Ba at (0.000, 0.000, 0.000), Ba at (0.000, 0.000, 0.360), Ba at (0.000, 0.500, 0.174), Bi at (0.000, 0.000, 0.811), Sb at (0.000, 0.000, 0.544) and H at (0.000, 0.000, 0.151).

Its total energy is -3.535 eV per atom. The density of states at the Fermi level comes out at 3.5 states/eV/f.u.

Entry from Alexandria: a relaxed Ba2BiSbH crystal (GGA-PBE).

The space group is P4/mmm (No. 123) and the conventional cell measures 6.159, 6.159 and 4.259 Å, with angles of 90.00, 90.00 and 90.00 degrees. The distinct sites, in fractional coordinates, are Ba at (0.000, 0.500, 0.000), Bi at (0.000, 0.000, 0.500), Sb at (0.500, 0.500, 0.500) and H at (0.500, 0.500, 0.000).

The calculation puts the energy above the most stable polymorph in this dataset at 0 meV per atom. The density of states at the Fermi level comes out at 4.5 states/eV/f.u.

Entry from Alexandria: a relaxed Ba2BiSbH crystal (GGA-PBE).

The space group is P4/mmm (No. 123) and the conventional cell measures 5.655, 5.655 and 4.908 Å, with angles of 90.00, 90.00 and 90.00 degrees. The distinct sites, in fractional coordinates, are Ba at (0.000, 0.500, 0.000), Bi at (0.000, 0.000, 0.500), Sb at (0.500, 0.500, 0.500) and H at (0.000, 0.000, 0.000).

The calculation puts the energy above the most stable polymorph in this dataset at 27 meV per atom. The density of states at the Fermi level comes out at 2.9 states/eV/f.u.

Entry from Alexandria: a relaxed Ba5Bi2HSe crystal (GGA-PBE).

The space group is P4/mmm (No. 123) and the conventional cell measures 5.204, 5.204 and 13.110 Å, with angles of 90.00, 90.00 and 90.00 degrees. The distinct sites, in fractional coordinates, are Ba at (0.000, 0.000, 0.000), Ba at (0.000, 0.500, 0.500), Ba at (0.500, 0.500, 0.240), Bi at (0.000, 0.000, 0.296), H at (0.500, 0.500, 0.500) and Se at (0.500, 0.500, 0.000).

Its total energy is -3.696 eV per atom. The density of states at the Fermi level comes out at 3.2 states/eV/f.u.

Entry from Alexandria: a relaxed Ba2SnBiH crystal (GGA-PBE).

The space group is P4/mmm (No. 123) and the conventional cell measures 5.779, 5.779 and 4.711 Å, with angles of 90.00, 90.00 and 90.00 degrees. The distinct sites, in fractional coordinates, are Ba at (0.000, 0.500, 0.000), Sn at (0.000, 0.000, 0.500), Bi at (0.500, 0.500, 0.500) and H at (0.000, 0.000, 0.000).

Its total energy is -3.505 eV per atom. The density of states at the Fermi level comes out at 2.5 states/eV/f.u.

Entry from Alexandria: a relaxed Ba4Sr2Bi3H2 crystal (GGA-PBE).

The space group is I4/mmm (No. 139) and the conventional cell measures 5.407, 5.407 and 27.715 Å, with angles of 90.00, 90.00 and 90.00 degrees. The distinct sites, in fractional coordinates, are Ba at (0.000, 0.500, 0.084), Sr at (0.000, 0.000, 0.202), Bi at (0.000, 0.000, 0.324), Bi at (0.000, 0.000, 0.500) and H at (0.000, 0.000, 0.106).

Its total energy is -3.398 eV per atom. The density of states at the Fermi level comes out at 3.8 states/eV/f.u.

Entry from Alexandria: a relaxed BaSrBiH2 crystal (GGA-PBE).

The space group is Cmcm (No. 63) and the conventional cell measures 5.184, 13.556 and 7.672 Å, with angles of 90.00, 90.00 and 90.00 degrees. The distinct sites, in fractional coordinates, are Ba at (0.000, 0.225, 0.250), Sr at (0.000, 0.500, 0.000), Bi at (0.000, 0.056, 0.750) and H at (0.000, 0.321, 0.559).

Its total energy is -3.363 eV per atom. The density of states at the Fermi level comes out at 1.7 states/eV/f.u.

Entry from Alexandria: a relaxed Ba2Sr2Bi2H crystal (GGA-PBE).

The space group is I4/mmm (No. 139) and the conventional cell measures 5.189, 5.189 and 18.798 Å, with angles of 90.00, 90.00 and 90.00 degrees. The distinct sites, in fractional coordinates, are Ba at (0.000, 0.000, 0.177), Sr at (0.000, 0.500, 0.000), Bi at (0.000, 0.000, 0.372) and H at (0.000, 0.000, 0.000).

Its total energy is -3.410 eV per atom. The density of states at the Fermi level comes out at 4.2 states/eV/f.u.

Entry from Alexandria: a relaxed BaSr2BiH crystal (GGA-PBE).

The space group is P4/mmm (No. 123) and the conventional cell measures 5.457, 5.457 and 5.446 Å, with angles of 90.00, 90.00 and 90.00 degrees. The distinct sites, in fractional coordinates, are Ba at (0.000, 0.000, 0.000), Sr at (0.000, 0.500, 0.500), Bi at (0.500, 0.500, 0.000) and H at (0.000, 0.000, 0.500).

Its total energy is -2.957 eV per atom. The density of states at the Fermi level comes out at 4.5 states/eV/f.u.

Entry from Alexandria: a relaxed BaTa2BiH crystal (GGA-PBE).

The space group is P4/mmm (No. 123) and the conventional cell measures 5.296, 5.296 and 7.071 Å, with angles of 90.00, 90.00 and 90.00 degrees. The distinct sites, in fractional coordinates, are Ba at (0.000, 0.000, 0.000), Ta at (0.000, 0.500, 0.500), Bi at (0.000, 0.000, 0.500) and H at (0.500, 0.500, 0.000).

Its total energy is -4.633 eV per atom. The density of states at the Fermi level comes out at 5.8 states/eV/f.u.

Entry from Alexandria: a relaxed Ba2TaBiH crystal (GGA-PBE).

The space group is P4/mmm (No. 123) and the conventional cell measures 6.835, 6.835 and 5.332 Å, with angles of 90.00, 90.00 and 90.00 degrees. The distinct sites, in fractional coordinates, are Ba at (0.000, 0.500, 0.000), Ta at (0.000, 0.000, 0.500), Bi at (0.000, 0.000, 0.000) and H at (0.500, 0.500, 0.500).

Its total energy is -3.704 eV per atom. The density of states at the Fermi level comes out at 3.9 states/eV/f.u.

Entry from Alexandria: a relaxed BaZnBiH2 crystal (GGA-PBE).

The space group is P4/mmm (No. 123) and the conventional cell measures 4.580, 4.580 and 5.766 Å, with angles of 90.00, 90.00 and 90.00 degrees. The distinct sites, in fractional coordinates, are Ba at (0.000, 0.000, 0.000), Zn at (0.500, 0.500, 0.000), Bi at (0.500, 0.500, 0.500) and H at (0.000, 0.500, 0.500).

The calculation puts the energy above the most stable polymorph in this dataset at 476 meV per atom. The density of states at the Fermi level comes out at 2.4 states/eV/f.u.

Entry from Alexandria: a relaxed BaZnBiH2 crystal (GGA-PBE).

The space group is Cmcm (No. 63) and the conventional cell measures 4.864, 12.022 and 6.897 Å, with angles of 90.00, 90.00 and 90.00 degrees. The distinct sites, in fractional coordinates, are Ba at (0.000, 0.222, 0.250), Zn at (0.000, 0.500, 0.000), Bi at (0.000, 0.059, 0.750) and H at (0.000, 0.362, 0.558).

The calculation puts the energy above the most stable polymorph in this dataset at 0 meV per atom. The density of states at the Fermi level comes out at 1.0 states/eV/f.u.

Entry from Alexandria: a relaxed BaHf2Bi crystal (GGA-PBE).

The space group is I-42d (No. 122) and the conventional cell measures 8.908, 8.908 and 6.557 Å, with angles of 90.00, 90.00 and 90.00 degrees. The distinct sites, in fractional coordinates, are Ba at (0.000, 0.000, 0.000), Hf at (0.200, 0.250, 0.625) and Bi at (0.000, 0.000, 0.500).

The calculation puts the energy of formation at 695 meV/atom. The density of states at the Fermi level comes out at 7.7 states/eV/f.u.

Entry from Alexandria: a relaxed BaHfBi3 crystal (GGA-PBE).

The space group is Pbcm (No. 57) and the conventional cell measures 15.345, 6.668 and 6.749 Å, with angles of 90.00, 90.00 and 90.00 degrees. The distinct sites, in fractional coordinates, are Ba at (0.189, 0.015, 0.250), Hf at (0.416, 0.750, 0.000), Bi at (0.005, 0.750, 0.000), Bi at (0.292, 0.514, 0.250) and Bi at (0.430, 0.121, 0.250).

The calculation puts the energy above the most stable polymorph in this dataset at 0 meV per atom. The calculation puts the energy of formation at -432 meV/atom. The density of states at the Fermi level comes out at 3.4 states/eV/f.u.

Entry from Alexandria: a relaxed BaHfBi2 crystal (GGA-PBE).

The space group is I-42d (No. 122) and the conventional cell measures 8.421, 8.421 and 9.004 Å, with angles of 90.00, 90.00 and 90.00 degrees. The distinct sites, in fractional coordinates, are Ba at (0.000, 0.000, 0.000), Hf at (0.000, 0.000, 0.500) and Bi at (0.189, 0.250, 0.625).

The calculation puts the energy above the most stable polymorph in this dataset at 236 meV per atom. The calculation puts the energy of formation at -241 meV/atom. The density of states at the Fermi level comes out at 0.2 states/eV/f.u.

Entry from Alexandria: a relaxed BaHfBi3 crystal (GGA-PBE).

The space group is Pm-3m (No. 221) and the conventional cell measures 5.726, 5.726 and 5.726 Å, with angles of 90.00, 90.00 and 90.00 degrees. The distinct sites, in fractional coordinates, are Ba at (0.000, 0.000, 0.000), Hf at (0.500, 0.500, 0.500) and Bi at (0.000, 0.500, 0.500).

The calculation puts the energy above the most stable polymorph in this dataset at 147 meV per atom. The calculation puts the energy of formation at -284 meV/atom. The density of states at the Fermi level comes out at 3.4 states/eV/f.u.